Record 1
! Pr2Sm5Tm3 (PBE, relaxed); values from VASP
&SYSTEM
  ibrav = 0, nat = 20, ntyp = 3
/
ATOMIC_SPECIES
Pr 140.91 Pr.upf
Sm 150.36 Sm.upf
Tm 168.93 Tm.upf
ATOMIC_POSITIONS crystal
Pr 0.018 0.265 0.049
Pr 0.265 0.018 0.549
Pr 0.735 0.982 0.451
Pr 0.982 0.735 0.951
Sm 0.155 0.384 0.783
Sm 0.232 0.768 0.750
Sm 0.271 0.729 0.250
Sm 0.384 0.155 0.283
Sm 0.468 0.532 0.250
Sm 0.532 0.468 0.750
Sm 0.616 0.845 0.717
Sm 0.729 0.271 0.750
Sm 0.768 0.232 0.250
Sm 0.845 0.616 0.217
Tm 0.025 0.975 0.750
Tm 0.223 0.460 0.455
Tm 0.460 0.223 0.955
Tm 0.540 0.777 0.045
Tm 0.777 0.540 0.545
Tm 0.975 0.025 0.250
CELL_PARAMETERS angstrom
5.423 -7.969 0.000
5.423 7.969 0.000
-5.372 0.000 7.868
! total magnetic moment: 0.00 μB per atom
! energy of formation: 189 meV per atom
! energy relative to the lowest polymorph listed for this composition: 0.000 eV per atom



Record 2
! AcCeHg6 (PBE, relaxed); values from VASP
&SYSTEM
  ibrav = 0, nat = 8, ntyp = 3
/
ATOMIC_SPECIES
Ac 227.00 Ac.upf
Ce 140.12 Ce.upf
Hg 200.59 Hg.upf
ATOMIC_POSITIONS crystal
Ac 0.000 0.000 0.000
Ce 0.500 0.670 0.670
Hg 0.000 0.002 0.500
Hg 0.000 0.500 0.002
Hg 0.000 0.504 0.504
Hg 0.500 0.179 0.179
Hg 0.500 0.182 0.643
Hg 0.500 0.643 0.182
CELL_PARAMETERS angstrom
5.122 0.000 0.000
0.000 3.503 6.057
0.000 -3.503 6.057
! total magnetic moment: 0.15 μB per atom
! energy of formation: -353 meV per atom



Record 3
! Ac4I5N (PBE, relaxed); values from VASP
&SYSTEM
  ibrav = 0, nat = 10, ntyp = 3
/
ATOMIC_SPECIES
Ac 227.00 Ac.upf
I 126.90 I.upf
N 14.01 N.upf
ATOMIC_POSITIONS crystal
Ac 0.002 0.002 0.304
Ac 0.363 0.363 0.431
Ac 0.637 0.637 0.569
Ac 0.998 0.998 0.696
I 0.166 0.166 0.853
I 0.173 0.173 0.315
I 0.500 0.500 0.000
I 0.827 0.827 0.685
I 0.834 0.834 0.147
N 0.500 0.500 0.500
CELL_PARAMETERS angstrom
9.969 -2.121 0.000
9.969 2.121 0.000
-2.145 0.000 9.046
! total magnetic moment: 0.00 μB per atom
! formation energy without anion corrections: -1.262 eV per atom



Record 4
! DyHoCo4 (PBE, relaxed); values from VASP
&SYSTEM
  ibrav = 0, nat = 6, ntyp = 3
/
ATOMIC_SPECIES
Dy 162.50 Dy.upf
Ho 164.93 Ho.upf
Co 58.93 Co.upf
ATOMIC_POSITIONS crystal
Dy 0.000 0.000 0.000
Ho 0.250 0.250 0.250
Co 0.125 0.625 0.625
Co 0.625 0.125 0.625
Co 0.625 0.625 0.125
Co 0.625 0.625 0.625
CELL_PARAMETERS angstrom
0.000 3.577 3.577
3.577 0.000 3.577
3.577 3.577 0.000
! total magnetic moment: 0.63 μB per atom
! energy of formation: -215 meV per atom



Record 5
! Rb3SnCl6 (PBE, relaxed); values from VASP
&SYSTEM
  ibrav = 0, nat = 20, ntyp = 3
/
ATOMIC_SPECIES
Rb 85.47 Rb.upf
Sn 118.71 Sn.upf
Cl 35.45 Cl.upf
ATOMIC_POSITIONS crystal
Rb 0.000 0.000 0.000
Rb 0.000 0.500 0.500
Rb 0.223 0.070 0.748
Rb 0.223 0.430 0.248
Rb 0.777 0.570 0.752
Rb 0.777 0.930 0.252
Sn 0.500 0.000 0.500
Sn 0.500 0.500 0.000
Cl 0.172 0.176 0.447
Cl 0.172 0.324 0.947
Cl 0.265 0.731 0.431
Cl 0.265 0.769 0.931
Cl 0.396 0.048 0.279
Cl 0.396 0.452 0.779
Cl 0.604 0.548 0.221
Cl 0.604 0.952 0.721
Cl 0.735 0.231 0.069
Cl 0.735 0.269 0.569
Cl 0.828 0.676 0.053
Cl 0.828 0.824 0.553
CELL_PARAMETERS angstrom
7.776 0.000 0.000
0.000 8.220 0.000
-7.760 0.000 11.142
! total magnetic moment: 0.07 μB per atom
! formation energy without anion corrections: -1.555 eV per atom



Record 6
! ZnReNi (PBE, relaxed); values from VASP
&SYSTEM
  ibrav = 0, nat = 3, ntyp = 3
/
ATOMIC_SPECIES
Zn 65.41 Zn.upf
Re 186.21 Re.upf
Ni 58.69 Ni.upf
ATOMIC_POSITIONS crystal
Zn 0.000 0.000 0.000
Re 0.685 0.685 0.000
Ni 0.338 0.338 0.000
CELL_PARAMETERS angstrom
-1.339 1.339 5.566
1.339 -1.339 5.566
1.339 1.339 -5.566
! total magnetic moment: 0.00 μB per atom
! energy of formation: 52 meV per atom
! energy relative to the lowest polymorph listed for this composition: 0.053 eV per atom



Record 7
! La6Pm3Nd2 (PBE, relaxed); values from VASP
&SYSTEM
  ibrav = 0, nat = 11, ntyp = 3
/
ATOMIC_SPECIES
La 138.91 La.upf
Pm 145.00 Pm.upf
Nd 144.24 Nd.upf
ATOMIC_POSITIONS crystal
La 0.110 0.610 0.500
La 0.219 0.219 0.000
La 0.390 0.890 0.500
La 0.610 0.110 0.500
La 0.781 0.781 0.000
La 0.890 0.390 0.500
Pm 0.348 0.348 0.000
Pm 0.500 0.500 0.000
Pm 0.652 0.652 0.000
Nd 0.063 0.063 0.000
Nd 0.937 0.937 0.000
CELL_PARAMETERS angstrom
-3.004 3.004 11.596
3.004 -3.004 11.596
3.004 3.004 -11.596
! total magnetic moment: 0.00 μB per atom
! energy of formation: 420 meV per atom
! energy relative to the lowest polymorph listed for this composition: 0.403 eV per atom



Record 8
! PmPaIn2 (PBE, relaxed); values from VASP
&SYSTEM
  ibrav = 0, nat = 4, ntyp = 3
/
ATOMIC_SPECIES
Pm 145.00 Pm.upf
Pa 231.04 Pa.upf
In 114.82 In.upf
ATOMIC_POSITIONS crystal
Pm 0.000 0.000 0.000
Pa 0.500 0.500 0.500
In 0.249 0.249 0.249
In 0.751 0.751 0.751
CELL_PARAMETERS angstrom
1.659 0.958 11.202
-1.659 0.958 11.202
0.000 -1.915 11.202
! total magnetic moment: 0.00 μB per atom
! energy of formation: -103 meV per atom
! energy relative to the lowest polymorph listed for this composition: 0.110 eV per atom



Record 9
! Sc4GaCu2Ir (PBE, relaxed); values from VASP
&SYSTEM
  ibrav = 0, nat = 8, ntyp = 4
/
ATOMIC_SPECIES
Sc 44.96 Sc.upf
Ga 69.72 Ga.upf
Cu 63.55 Cu.upf
Ir 192.22 Ir.upf
ATOMIC_POSITIONS crystal
Sc 0.121 0.121 0.121
Sc 0.372 0.372 0.372
Sc 0.628 0.628 0.628
Sc 0.879 0.879 0.879
Ga 0.500 0.500 0.500
Cu 0.246 0.246 0.246
Cu 0.754 0.754 0.754
Ir 0.000 0.000 0.000
CELL_PARAMETERS angstrom
2.318 1.338 7.582
-2.318 1.338 7.582
0.000 -2.676 7.582
! total magnetic moment: 0.00 μB per atom
! energy of formation: -599 meV per atom



Record 10
! La2TaW (PBE, relaxed); values from VASP
&SYSTEM
  ibrav = 0, nat = 4, ntyp = 3
/
ATOMIC_SPECIES
La 138.91 La.upf
Ta 180.95 Ta.upf
W 183.84 W.upf
ATOMIC_POSITIONS crystal
La 0.000 0.500 0.000
La 0.500 0.000 0.000
Ta 0.000 0.000 0.500
W 0.500 0.500 0.500
CELL_PARAMETERS angstrom
4.158 0.000 0.000
0.000 4.158 0.000
0.000 0.000 5.389
! total magnetic moment: 0.00 μB per atom
! energy of formation: 758 meV per atom
! energy relative to the lowest polymorph listed for this composition: 0.445 eV per atom



Record 11
! ZrSc2Co (PBE, relaxed); values from VASP
&SYSTEM
  ibrav = 0, nat = 4, ntyp = 3
/
ATOMIC_SPECIES
Zr 91.22 Zr.upf
Sc 44.96 Sc.upf
Co 58.93 Co.upf
ATOMIC_POSITIONS crystal
Zr 0.000 0.000 0.000
Sc 0.250 0.750 0.500
Sc 0.750 0.250 0.500
Co 0.500 0.500 0.000
CELL_PARAMETERS angstrom
-1.965 1.965 4.954
1.965 -1.965 4.954
1.965 1.965 -4.954
! total magnetic moment: 0.00 μB per atom
! energy of formation: 112 meV per atom
! energy relative to the lowest polymorph listed for this composition: 0.326 eV per atom



Record 12
! DyTh2Sc (PBE, relaxed); values from VASP
&SYSTEM
  ibrav = 0, nat = 4, ntyp = 3
/
ATOMIC_SPECIES
Dy 162.50 Dy.upf
Th 232.04 Th.upf
Sc 44.96 Sc.upf
ATOMIC_POSITIONS crystal
Dy 0.000 0.000 0.000
Th 0.250 0.250 0.250
Th 0.750 0.750 0.750
Sc 0.500 0.500 0.500
CELL_PARAMETERS angstrom
0.000 3.917 3.917
3.917 0.000 3.917
3.917 3.917 0.000
! total magnetic moment: 0.00 μB per atom
! energy of formation: 111 meV per atom
! energy relative to the lowest polymorph listed for this composition: 0.070 eV per atom